A | ## K2RbNaPb (PBE-GGA)

Data for a relaxed structure of K2RbNaPb.

SG: P4/mmm (123)
Total magnetization: 0.0 μB/f.u.

abc: 6.717 6.717 5.929
angles: 90.00 90.00 90.00
Sites, in units of the cell vectors:
K  0.000  0.500  0.000
K  0.500  0.000  0.000
Rb  0.000  0.000  0.500
Na  0.500  0.500  0.000
Pb  0.500  0.500  0.500

=====

B | ## K2RbNaPb (PBE-GGA)

Data for a relaxed structure of K2RbNaPb.

SG: P4/mmm (123)
Total magnetization: 0.0 μB/f.u.

abc: 6.932 6.932 6.234
angles: 90.00 90.00 90.00
Sites, in units of the cell vectors:
K  0.000  0.500  0.000
K  0.500  0.000  0.000
Rb  0.000  0.000  0.500
Na  0.500  0.500  0.500
Pb  0.500  0.500  0.000

=====

Which of them is the least stable? Correct choice: A.

=====

A | ## KNa2ZnPb (PBE-GGA)

Data for a relaxed structure of KNa2ZnPb.

SG: P4/mmm (123)
Total magnetization: 0.0 μB/f.u.

abc: 6.109 6.109 5.383
angles: 90.00 90.00 90.00
Sites, in units of the cell vectors:
K  0.000  0.000  0.000
Na  0.000  0.500  0.500
Na  0.500  0.000  0.500
Zn  0.500  0.500  0.000
Pb  0.500  0.500  0.500

=====

B | ## KNa2ZnPb (PBE-GGA)

Data for a relaxed structure of KNa2ZnPb.

SG: P4/mmm (123)
Total magnetization: 0.0 μB/f.u.

abc: 5.818 5.818 5.321
angles: 90.00 90.00 90.00
Sites, in units of the cell vectors:
K  0.000  0.000  0.000
Na  0.000  0.500  0.500
Na  0.500  0.000  0.500
Zn  0.500  0.500  0.500
Pb  0.500  0.500  0.000

=====

C | ## KNa2ZnPb (PBE-GGA)

Data for a relaxed structure of KNa2ZnPb.

SG: P4/mmm (123)
Total magnetization: 0.0 μB/f.u.

abc: 5.582 5.582 6.109
angles: 90.00 90.00 90.00
Sites, in units of the cell vectors:
K  0.000  0.000  0.000
Na  0.000  0.500  0.500
Na  0.500  0.000  0.500
Zn  0.000  0.000  0.500
Pb  0.500  0.500  0.000

=====

Which of them is the least stable? Correct choice: C.

=====

A | ## KNa3Pd (PBE-GGA)

Data for a relaxed structure of KNa3Pd.

SG: Pm-3m (221)
Total magnetization: 0.0 μB/f.u.

abc: 5.830 5.830 5.830
angles: 90.00 90.00 90.00
Sites, in units of the cell vectors:
K  0.000  0.000  0.000
Na  0.000  0.000  0.500
Na  0.000  0.500  0.000
Na  0.500  0.000  0.000
Pd  0.500  0.500  0.500

=====

B | ## KNa3Pd (PBE-GGA)

Data for a relaxed structure of KNa3Pd.

SG: C2/c (15)
Total magnetization: 0.0 μB/f.u.

abc: 10.618 10.618 6.925
angles: 99.90 99.90 61.17
Sites, in units of the cell vectors:
K  0.066  0.934  0.750
K  0.372  0.628  0.250
K  0.628  0.372  0.750
K  0.934  0.066  0.250
Na  0.006  0.350  0.580
Na  0.010  0.651  0.916
Na  0.332  0.334  0.408
Na  0.334  0.332  0.908
Na  0.349  0.990  0.584
Na  0.350  0.006  0.080
Na  0.650  0.994  0.920
Na  0.651  0.010  0.416
Na  0.666  0.668  0.092
Na  0.668  0.666  0.592
Na  0.990  0.349  0.084
Na  0.994  0.650  0.420
Pd  0.257  0.592  0.708
Pd  0.408  0.743  0.792
Pd  0.592  0.257  0.208
Pd  0.743  0.408  0.292

=====

Which of them is the least stable? Correct choice: A.

=====

A | ## KRbNa2Pd (PBE-GGA)

Data for a relaxed structure of KRbNa2Pd.

SG: P4/mmm (123)
Total magnetization: 0.0 μB/f.u.

abc: 5.855 5.855 6.407
angles: 90.00 90.00 90.00
Sites, in units of the cell vectors:
K  0.000  0.000  0.000
Rb  0.500  0.500  0.000
Na  0.000  0.500  0.500
Na  0.500  0.000  0.500
Pd  0.500  0.500  0.500

=====

B | ## KRbNa2Pd (PBE-GGA)

Data for a relaxed structure of KRbNa2Pd.

SG: P4/mmm (123)
Total magnetization: 0.0 μB/f.u.

abc: 5.868 5.868 6.212
angles: 90.00 90.00 90.00
Sites, in units of the cell vectors:
K  0.000  0.000  0.000
Rb  0.500  0.500  0.000
Na  0.000  0.500  0.500
Na  0.500  0.000  0.500
Pd  0.000  0.000  0.500

=====

Which of them is the least stable? Correct choice: A.

=====

A | ## K2RbNaPd (PBE-GGA)

Data for a relaxed structure of K2RbNaPd.

SG: P4/mmm (123)
Total magnetization: 0.0 μB/f.u.

abc: 6.440 6.440 5.892
angles: 90.00 90.00 90.00
Sites, in units of the cell vectors:
K  0.000  0.500  0.000
K  0.500  0.000  0.000
Rb  0.000  0.000  0.500
Na  0.500  0.500  0.500
Pd  0.500  0.500  0.000

=====

B | ## K2RbNaPd (PBE-GGA)

Data for a relaxed structure of K2RbNaPd.

SG: P4/mmm (123)
Total magnetization: 0.0 μB/f.u.

abc: 6.373 6.373 6.620
angles: 90.00 90.00 90.00
Sites, in units of the cell vectors:
K  0.000  0.500  0.000
K  0.500  0.000  0.000
Rb  0.000  0.000  0.500
Na  0.500  0.500  0.500
Pd  0.000  0.000  0.000

=====

Which of them is the least stable? Correct choice: B.

=====

A | ## KNa2SbPd (PBE-GGA)

Data for a relaxed structure of KNa2SbPd.

SG: P4/mmm (123)
Total magnetization: 0.0 μB/f.u.

abc: 5.578 5.578 5.106
angles: 90.00 90.00 90.00
Sites, in units of the cell vectors:
K  0.000  0.000  0.000
Na  0.000  0.500  0.500
Na  0.500  0.000  0.500
Sb  0.500  0.500  0.000
Pd  0.500  0.500  0.500

=====

B | ## KNa2SbPd (PBE-GGA)

Data for a relaxed structure of KNa2SbPd.

SG: P4/mmm (123)
Total magnetization: 0.0 μB/f.u.

abc: 5.828 5.828 5.158
angles: 90.00 90.00 90.00
Sites, in units of the cell vectors:
K  0.000  0.000  0.000
Na  0.000  0.500  0.500
Na  0.500  0.000  0.500
Sb  0.500  0.500  0.500
Pd  0.500  0.500  0.000

=====

Which of them is the least stable? Correct choice: B.

=====

A | ## KNaTl2Pd (PBE-GGA)

Data for a relaxed structure of KNaTl2Pd.

SG: P4/mmm (123)
Total magnetization: 0.0 μB/f.u.

abc: 5.360 5.360 5.653
angles: 90.00 90.00 90.00
Sites, in units of the cell vectors:
K  0.000  0.000  0.000
Na  0.500  0.500  0.000
Tl  0.000  0.500  0.500
Tl  0.500  0.000  0.500
Pd  0.500  0.500  0.500

=====

B | ## KNaTl2Pd (PBE-GGA)

Data for a relaxed structure of KNaTl2Pd.

SG: P4/mmm (123)
Total magnetization: 0.0 μB/f.u.

abc: 5.376 5.376 6.019
angles: 90.00 90.00 90.00
Sites, in units of the cell vectors:
K  0.000  0.000  0.000
Na  0.500  0.500  0.000
Tl  0.000  0.500  0.500
Tl  0.500  0.000  0.500
Pd  0.000  0.000  0.500

=====

Which of them is the least stable? Correct choice: B.

=====

A | ## KNa3Pt (PBE-GGA)

Data for a relaxed structure of KNa3Pt.

SG: C2/c (15)
Total magnetization: 0.0 μB/f.u.

abc: 10.432 10.432 6.890
angles: 100.46 100.46 62.66
Sites, in units of the cell vectors:
K  0.068  0.932  0.750
K  0.375  0.625  0.250
K  0.625  0.375  0.750
K  0.932  0.068  0.250
Na  0.007  0.351  0.577
Na  0.014  0.650  0.919
Na  0.332  0.336  0.405
Na  0.336  0.332  0.905
Na  0.350  0.986  0.581
Na  0.351  0.007  0.077
Na  0.649  0.993  0.923
Na  0.650  0.014  0.419
Na  0.664  0.668  0.095
Na  0.668  0.664  0.595
Na  0.986  0.350  0.081
Na  0.993  0.649  0.423
Pt  0.258  0.592  0.708
Pt  0.408  0.742  0.792
Pt  0.592  0.258  0.208
Pt  0.742  0.408  0.292

=====

B | ## KNa3Pt (PBE-GGA)

Data for a relaxed structure of KNa3Pt.

SG: Pm-3m (221)
Total magnetization: 0.0 μB/f.u.

abc: 5.631 5.631 5.631
angles: 90.00 90.00 90.00
Sites, in units of the cell vectors:
K  0.000  0.000  0.000
Na  0.000  0.500  0.500
Na  0.500  0.000  0.500
Na  0.500  0.500  0.000
Pt  0.500  0.500  0.500

=====

C | ## KNa3Pt (PBE-GGA)

Data for a relaxed structure of KNa3Pt.

SG: Pm-3m (221)
Total magnetization: 0.0 μB/f.u.

abc: 5.522 5.522 5.522
angles: 90.00 90.00 90.00
Sites, in units of the cell vectors:
K  0.000  0.000  0.000
Na  0.000  0.000  0.500
Na  0.000  0.500  0.000
Na  0.500  0.000  0.000
Pt  0.500  0.500  0.500

=====

Which of them is the least stable? Correct choice: C.

=====

A | ## KNa2Pt2 (PBE-GGA)

Data for a relaxed structure of KNa2Pt2.

SG: P4/mbm (127)
Total magnetization: 0.0 μB/f.u.

abc: 8.904 8.904 2.785
angles: 90.00 90.00 90.00
Sites, in units of the cell vectors:
K  0.000  0.000  0.000
K  0.500  0.500  0.000
Na  0.121  0.379  0.000
Na  0.379  0.879  0.000
Na  0.621  0.121  0.000
Na  0.879  0.621  0.000
Pt  0.174  0.674  0.500
Pt  0.326  0.174  0.500
Pt  0.674  0.826  0.500
Pt  0.826  0.326  0.500

=====

B | ## KNa2Pt2 (PBE-GGA)

Data for a relaxed structure of KNa2Pt2.

SG: I4/mmm (139)
Total magnetization: 0.8 μB/f.u.

abc: 6.701 6.701 6.701
angles: 137.65 137.65 61.44
Sites, in units of the cell vectors:
K  0.000  0.000  0.000
Na  0.250  0.750  0.500
Na  0.750  0.250  0.500
Pt  0.390  0.390  0.000
Pt  0.610  0.610  0.000

=====

Which of them is the least stable? Correct choice: B.

=====

A | ## KRbNa2Pt (PBE-GGA)

Data for a relaxed structure of KRbNa2Pt.

SG: P4/mmm (123)
Total magnetization: 0.0 μB/f.u.

abc: 5.773 5.773 6.424
angles: 90.00 90.00 90.00
Sites, in units of the cell vectors:
K  0.000  0.000  0.000
Rb  0.500  0.500  0.000
Na  0.000  0.500  0.500
Na  0.500  0.000  0.500
Pt  0.500  0.500  0.500

=====

B | ## KRbNa2Pt (PBE-GGA)

Data for a relaxed structure of KRbNa2Pt.

SG: P4/mmm (123)
Total magnetization: 0.0 μB/f.u.

abc: 5.787 5.787 6.205
angles: 90.00 90.00 90.00
Sites, in units of the cell vectors:
K  0.000  0.000  0.000
Rb  0.500  0.500  0.000
Na  0.000  0.500  0.500
Na  0.500  0.000  0.500
Pt  0.000  0.000  0.500

=====

Which of them is the least stable? Correct choice: A.

=====

A | ## KRb2NaPt (PBE-GGA)

Data for a relaxed structure of KRb2NaPt.

SG: P4/mmm (123)
Total magnetization: 0.0 μB/f.u.

abc: 6.628 6.628 5.780
angles: 90.00 90.00 90.00
Sites, in units of the cell vectors:
K  0.000  0.000  0.000
Rb  0.000  0.500  0.500
Rb  0.500  0.000  0.500
Na  0.500  0.500  0.000
Pt  0.500  0.500  0.500

=====

B | ## KRb2NaPt (PBE-GGA)

Data for a relaxed structure of KRb2NaPt.

SG: P4/mmm (123)
Total magnetization: 0.0 μB/f.u.

abc: 6.559 6.559 6.302
angles: 90.00 90.00 90.00
Sites, in units of the cell vectors:
K  0.000  0.000  0.000
Rb  0.000  0.500  0.500
Rb  0.500  0.000  0.500
Na  0.500  0.500  0.000
Pt  0.000  0.000  0.500

=====

Which of them is the least stable? Correct choice: A.

=====

A | ## K2RbNaPt (PBE-GGA)

Data for a relaxed structure of K2RbNaPt.

SG: P4/mmm (123)
Total magnetization: 0.0 μB/f.u.

abc: 6.347 6.347 5.829
angles: 90.00 90.00 90.00
Sites, in units of the cell vectors:
K  0.000  0.500  0.000
K  0.500  0.000  0.000
Rb  0.000  0.000  0.500
Na  0.500  0.500  0.500
Pt  0.500  0.500  0.000

=====

B | ## K2RbNaPt (PBE-GGA)

Data for a relaxed structure of K2RbNaPt.

SG: P4/mmm (123)
Total magnetization: 0.0 μB/f.u.

abc: 6.297 6.297 6.537
angles: 90.00 90.00 90.00
Sites, in units of the cell vectors:
K  0.000  0.500  0.000
K  0.500  0.000  0.000
Rb  0.000  0.000  0.500
Na  0.500  0.500  0.500
Pt  0.000  0.000  0.000

=====

Which of them is the least stable? Correct choice: B.